The following is a PBE-GGA calculation of a geometry-optimized MgCuSi2 structure, from Alexandria.

Geometry as POSCAR:
```
MgCuSi2
1.0
2.774 0.000 0.000
0.000 4.476 0.000
0.000 0.000 4.896
Mg Cu Si
1 1 2
direct
0.000 0.000 0.000 Mg
0.500 0.500 0.243 Cu
0.500 0.000 0.494 Si
0.500 0.500 0.748 Si
```

Properties
Density of states at the Fermi level, states/eV per cell: 1.48
VASP energy, eV per cell: -16.17
Magnetic moment, Bohr magnetons per cell: 0.00